The following is a GGA-PBE calculation of KBeCr2 after structural relaxation, from Alexandria via LeMat-Bulk.

## Properties
V = 81 Å³/cell
formation enthalpy at 0 K = 114.6 kJ per mole of atoms
size of the total moment = 0.25 Bohr magnetons per cell
density of states at the Fermi level = 2.374 states/eV/f.u.
SG = Imm2 (44)
DFT total energy = -4.830 eV/atom

Cell: 5.8254 5.8254 5.8254 Å, 150.38 122.98 65.57°
Closest atoms and distances in Å follow each position.
Fractional coordinates of all 4 atoms:
K: 0.0000 0.0000 0.0000  2 K 2.98, 4 Cr 3.16, 2 Be 3.25
Be: 0.7053 0.2053 0.5000  2 Cr 2.43
Cr: 0.3087 0.8087 0.5000  2 Cr 2.46
Cr: 0.5087 0.5087 0.0000  2 Be 2.43, 2 Cr 2.46